Here is a geometry-optimized Re2BOs structure from the Alexandria database. Energies are from PBE-GGA.

Structure (POSCAR):
```
Re2BOs
1.0
2.868 0.000 0.000
1.434 2.484 0.000
1.434 0.828 7.160
Re Os B
2 1 1
Direct
0.267 0.267 0.198
0.065 0.065 0.804
0.501 0.501 0.496
0.666 0.666 0.002
```

## Properties
ΔE_f = 20 meV/atom
symmetry = No. 160